Entry 1:
Li3NbBr after structural relaxation, computed with PBE.

a b c (Å): 5.4094 5.4094 5.4094
angles (deg): 90.00 90.00 90.00
Last column: magnetic moment on the atom in μB.
Sites, in units of the cell vectors:
Nb (0.0000, 0.0000, 0.0000)  3.30
Br (0.5000, 0.5000, 0.5000)  0.03
Li (0.0000, 0.5000, 0.0000)  0.04
Li (0.0000, 0.0000, 0.5000)  0.03
Li (0.5000, 0.0000, 0.0000)  0.04

=====

Entry 2:
LiNbBr2 after structural relaxation, computed with PBE.

a b c (Å): 8.6946 8.6946 8.6946
angles (deg): 22.59 22.59 22.59
Sites, in units of the cell vectors:
Nb (0.0000, 0.0000, 0.0000)
Br (0.8988, 0.8988, 0.8988)
Br (0.1012, 0.1012, 0.1012)
Li (0.5000, 0.5000, 0.5000)

=====

The following final energy values (in eV/cell) correspond, in order, to the records above: -13.17 -16.91.